A relaxed structure of TaInGaO6. Source: Alexandria via LeMat-Bulk, functional PBE.

```
data_TaInGaO6
_chemical_formula_sum 'Ta2 In2 Ga2 O12'
_symmetry_space_group_name_H-M 'P 42 n m'
_symmetry_Int_Tables_number 102
_symmetry_space_group_name_Hall 'P 4n -2n'
_cell_length_a 4.8002
_cell_length_b 4.8002
_cell_length_c 9.4587
_cell_angle_alpha 90.00
_cell_angle_beta 90.00
_cell_angle_gamma 90.00
loop_
_atom_site_label
_atom_site_type_symbol
_atom_site_fract_x
_atom_site_fract_y
_atom_site_fract_z
Ta1 Ta 0.0000 0.0000 0.0000
In1 In 0.0000 0.0000 0.3352
Ga1 Ga 0.0000 0.0000 0.6685
O1 O 0.1841 0.1841 0.8350
O2 O 0.2043 0.2043 0.5149
O3 O 0.2062 0.2062 0.1504
```

## Properties
**Energy**: -7.177 eV per atom
**Formation energy (no corrections)**: -17.23 eV per formula unit